Density functional theory data (PBE) for a relaxed structure of Mg2CuSbH.

```
Mg2CuSbH
1.0
4.499 0.000 0.000
0.000 4.499 0.000
0.000 0.000 4.009
Sb Mg Cu H
1 2 1 1
direct
0.500 0.500 0.500
0.000 0.500 0.000
0.500 0.000 0.000
0.000 0.000 0.500
0.000 0.000 0.000
```

Results
* total energy: -14.87 eV/cell
* total magnetization: 0.00 μB per cell